No. 1
Compound: LiZnPO4
Source: the Alexandria database
Functional: meta-GGA SCAN
Structure: PBEsol geometry

a = 10.012 Å, b = 4.966 Å, c = 6.666 Å
α = 90.00°, β = 90.00°, γ = 90.00°
Space group Pna2_1 (No. 33)
Inequivalent atoms, fractional coordinates:
Li: 0.154 0.185 0.000 [4 per cell]
Zn: 0.155 0.186 0.501 [4 per cell]
P: 0.094 0.684 0.750 [4 per cell]
O: 0.056 0.241 0.252 [4 per cell]
O: 0.115 0.375 0.749 [4 per cell]
O: 0.160 0.800 0.558 [4 per cell]
O: 0.160 0.801 0.941 [4 per cell]

As for the energy relative to the elements, uncorrected: -2.370 eV per atom.

No. 2
Compound: Be2TeF
Source: the Alexandria database
Functional: meta-GGA SCAN
Structure: PBEsol geometry

a = 4.623 Å, b = 4.623 Å, c = 10.992 Å
α = 90.00°, β = 90.00°, γ = 90.00°
Space group I-42d (No. 122)
Inequivalent atoms, fractional coordinates:
Be: 0.145 0.250 0.125 [8 per cell]
Te: 0.000 0.000 0.500 [4 per cell]
F: 0.000 0.000 0.000 [4 per cell]

As for the energy relative to the elements, uncorrected: -0.578 eV per atom.

No. 3
Compound: Tl2CrIn
Source: the Alexandria database
Functional: meta-GGA SCAN
Structure: PBEsol geometry

a = 3.104 Å, b = 4.606 Å, c = 13.493 Å
α = 90.00°, β = 90.00°, γ = 90.00°
Space group Immm (No. 71)
Inequivalent atoms, fractional coordinates:
Tl: 0.000 0.000 0.184 [4 per cell]
Cr: 0.000 0.500 0.500 [2 per cell]
In: 0.000 0.500 0.000 [2 per cell]

Its energy of formation is 182 meV per atom.